#one
Computed, not measured: a relaxed structure of BaY3Ir at the PBE-GGA level of DFT.

abc: 16.8567 3.9118 12.9378
angles: 90.00 127.99 90.00
Closest atoms and distances in Å follow each position.
Space group Cm (No. 8)
Asymmetric unit:
Ba 0.0000 0.0000 0.0000 x2  7 Y 3.88-4.31, 2 Ba 3.91
Ba 0.1504 0.5000 0.8627 x2  8 Y 3.76-4.20, 2 Ba 3.91
Y 0.1352 0.5000 0.3773 x2  4 Ir 3.00-3.03
Y 0.2325 0.0000 0.6723 x2  8 Y 3.63-3.91, 2 Ir 3.79-3.91, 2 Ba 4.00
Y 0.2783 0.5000 0.2624 x2  3 Ir 2.86-2.92
Y 0.3778 0.0000 0.1290 x2  2 Ir 2.76
Y 0.3899 0.5000 0.6260 x2  2 Ir 2.77
Y 0.4933 0.0000 0.4905 x2  3 Ir 2.83-2.99
Ir 0.2926 0.0000 0.4342 x2  7 Y 2.77-3.00
Ir 0.4752 0.5000 0.3195 x2  7 Y 2.76-3.03

***

#two
Computed, not measured: a relaxed structure of BaY3Ir at the PBE-GGA level of DFT.

abc: 9.0472 7.9097 10.3276
angles: 90.00 112.75 90.00
Closest atoms and distances in Å follow each position.
Space group P2_1/c (No. 14)
Asymmetric unit:
Ba 0.1299 0.1789 0.0889 x4  1 Ir 3.48, 6 Y 3.55-3.88, 1 Ba 3.68
Y 0.1767 0.6298 0.2483 x4  1 Ir 2.75
Y 0.2995 0.5088 0.9578 x4  2 Ir 2.78-2.86
Y 0.4652 0.6132 0.6388 x4  3 Ir 2.80-2.93
Ir 0.4828 0.7475 0.3937 x4  6 Y 2.75-2.93

***

#three
Computed, not measured: a relaxed structure of BaY3Ir at the PBE-GGA level of DFT.

abc: 14.8677 14.8677 14.8677
angles: 90.00 90.00 90.00
Closest atoms and distances in Å follow each position.
Space group Fd-3m (No. 227, origin choice 2)
Asymmetric unit:
Ba 0.0000 0.0000 0.0000 x16  6 Y 3.93
Y 0.0534 0.3750 0.8750 x48  2 Ir 2.75
Ir 0.0000 0.0000 0.5000 x16  6 Y 2.75

***

Short version: #three is the least stable of them.

***

#one
Computed, not measured: a relaxed structure of BaY3Ir at the PBE-GGA level of DFT.

abc: 6.2645 16.2279 6.7876
angles: 90.00 90.00 90.00
Closest atoms and distances in Å follow each position.
Space group Pnma (No. 62)
Asymmetric unit:
Ba 0.0000 0.0000 0.0000 x4  8 Y 3.80-4.10
Y 0.0005 0.1369 0.4548 x8  2 Ir 2.78
Y 0.0008 0.2500 0.9130 x4  2 Ir 2.77
Ir 0.2493 0.7500 0.7501 x4  6 Y 2.77-2.78

***

#two
Computed, not measured: a relaxed structure of BaY3Ir at the PBE-GGA level of DFT.

abc: 9.5423 6.9462 12.3865
angles: 90.00 124.59 90.00
Closest atoms and distances in Å follow each position.
Space group P2_1/c (No. 14)
Asymmetric unit:
Ba 0.1878 0.1701 0.0766 x4  1 Ir 3.16
Y 0.0830 0.5804 0.8304 x4  2 Ir 2.77-2.79
Y 0.3107 0.6662 0.2066 x4  1 Ir 2.72
Y 0.4656 0.2399 0.9449 x4  2 Ir 2.75-2.81
Ir 0.2317 0.5589 0.3771 x4  5 Y 2.72-2.81

***

Short version: #two is the least stable of them.

***

#one
Computed, not measured: a relaxed structure of BaY2Ir at the PBE-GGA level of DFT.

abc: 3.5565 4.7389 15.9118
angles: 90.00 90.00 90.00
Closest atoms and distances in Å follow each position.
Space group Imm2 (No. 44)
Asymmetric unit:
Ba 0.0000 0.0000 0.0000 x2  2 Ir 3.44, 2 Ba 3.56, 2 Y 3.64
Y 0.0000 0.0000 0.3205 x2  2 Ir 2.79
Y 0.0000 0.5000 0.1740 x2  4 Ir 2.97, 2 Y 3.32
Ir 0.0000 0.5000 0.6854 x2  6 Y 2.79-2.97

***

#two
Computed, not measured: a relaxed structure of BaY2Ir at the PBE-GGA level of DFT.

abc: 3.7410 6.0717 11.3831
angles: 90.00 90.00 90.00
Closest atoms and distances in Å follow each position.
Space group Immm (No. 71)
Asymmetric unit:
Ba 0.0000 0.0000 0.0000 x2  4 Ir 3.57, 4 Y 3.65, 2 Ba 3.74
Y 0.0000 0.5000 0.1787 x4  2 Ir 2.76
Ir 0.0000 0.0000 0.5000 x2  4 Y 2.76

***

Short version: #one is the least stable of them.

***

#one
Computed, not measured: a relaxed structure of Ba2YIr at the PBE-GGA level of DFT.

abc: 4.2270 3.9029 9.7639
angles: 90.00 102.43 90.00
Closest atoms and distances in Å follow each position.
Space group Pm (No. 6)
Asymmetric unit:
Ba 0.0000 0.0000 0.0000 x1  1 Ir 3.12
Ba 0.2995 0.5000 0.6036 x1  2 Ir 3.28
Y 0.6409 0.5000 0.2845 x1  4 Ir 2.91
Ir 0.1620 0.0000 0.3273 x1  4 Y 2.91, 1 Ba 3.12

***

#two
Computed, not measured: a relaxed structure of Ba2YIr at the PBE-GGA level of DFT.

abc: 5.5561 5.5561 7.7950
angles: 90.00 90.00 90.00
Closest atoms and distances in Å follow each position.
Space group I-4m2 (No. 119)
Asymmetric unit:
Ba 0.0000 0.0000 0.0000 x2  4 Ba 3.39, 4 Y 3.39
Ba 0.0000 0.5000 0.2500 x2  4 Ba 3.39, 4 Ir 3.39
Y 0.0000 0.5000 0.7500 x2  4 Ba 3.39, 4 Ir 3.39
Ir 0.0000 0.0000 0.5000 x2  4 Ba 3.39, 4 Y 3.39

***

#three
Computed, not measured: a relaxed structure of Ba2YIr at the PBE-GGA level of DFT.

abc: 3.9270 6.1927 12.4410
angles: 90.00 90.00 90.00
Closest atoms and distances in Å follow each position.
Space group Imm2 (No. 44)
Asymmetric unit:
Ba 0.0000 0.0000 0.0000 x2  2 Ir 3.19
Ba 0.0000 0.5000 0.1772 x2  4 Ir 3.68, 2 Y 3.75, 4 Ba 3.80-3.93
Y 0.0000 0.0000 0.3475 x2  2 Ir 2.67
Ir 0.0000 0.5000 0.7016 x2  2 Y 2.67

***

Short version: #two is the least stable of them.

***

#one
Computed, not measured: a relaxed structure of Ba2YIr at the PBE-GGA level of DFT.

abc: 7.5306 4.3452 10.6495
angles: 90.00 103.65 90.00
Closest atoms and distances in Å follow each position.
Space group Cm (No. 8)
Asymmetric unit:
Ba 0.0000 0.0000 0.0000 x2  3 Ir 3.14
Ba 0.2053 0.0000 0.6135 x2  3 Y 4.14, 6 Ba 4.35
Y 0.4317 0.0000 0.2948 x2  3 Ir 2.77
Ir 0.2274 0.5000 0.1821 x2  3 Y 2.77

***

#two
Computed, not measured: a relaxed structure of Ba2YIr at the PBE-GGA level of DFT.

abc: 5.4298 15.2836 4.4607
angles: 90.00 90.00 90.00
Closest atoms and distances in Å follow each position.
Space group Cmmm (No. 65)
Asymmetric unit:
Ba 0.0000 0.1390 0.0000 x4  2 Ir 3.08
Y 0.0000 0.5000 0.5000 x2  2 Ir 2.71
Ir 0.0000 0.0000 0.5000 x2  2 Y 2.71

***

Short version: #two is the least stable of them.

***

#one
Computed, not measured: a relaxed structure of Ba2YIr at the PBE-GGA level of DFT.

abc: 3.7239 3.7239 10.6274
angles: 90.00 90.00 90.00
Closest atoms and distances in Å follow each position.
Space group P4mm (No. 99)
Asymmetric unit:
Ba 0.0000 0.0000 0.0000 x1  4 Ba 3.72
Ba 0.5000 0.5000 0.3723 x1  4 Ir 3.40, 1 Y 3.42, 4 Ba 3.72
Y 0.5000 0.5000 0.6937 x1  4 Ir 2.92
Ir 0.0000 0.0000 0.5748 x1  4 Y 2.92

***

#two
Computed, not measured: a relaxed structure of Ba2YIr at the PBE-GGA level of DFT.

abc: 3.7740 3.7740 10.3091
angles: 90.00 90.00 90.00
Closest atoms and distances in Å follow each position.
Space group P4/mmm (No. 123)
Asymmetric unit:
Ba 0.0000 0.0000 0.1764 x2  4 Ir 3.23
Y 0.5000 0.5000 0.5000 x1  4 Y 3.77
Ir 0.5000 0.5000 0.0000 x1  8 Ba 3.23

***

Short version: #two is the least stable of them.

***

#one
Computed, not measured: a relaxed structure of Ba2YIr at the PBE-GGA level of DFT.

abc: 7.9271 7.9271 7.9271
angles: 90.00 90.00 90.00
Closest atoms and distances in Å follow each position.
Space group Fm-3m (No. 225)
Asymmetric unit:
Ba 0.2500 0.2500 0.2500 x8  4 Ir 3.43, 4 Y 3.43
Y 0.0000 0.0000 0.0000 x4  8 Ba 3.43
Ir 0.0000 0.0000 0.5000 x4  8 Ba 3.43

***

#two
Computed, not measured: a relaxed structure of Ba2YIr at the PBE-GGA level of DFT.

abc: 4.1944 4.1944 32.0211
angles: 90.00 90.00 120.00
Closest atoms and distances in Å follow each position.
Space group R-3m (No. 166, hexagonal axes)
Asymmetric unit:
Ba 0.0000 0.0000 0.2234 x6  3 Ir 3.03
Y 0.0000 0.0000 0.0000 x3  6 Y 4.19, 6 Ba 4.27
Ir 0.0000 0.0000 0.5000 x3  6 Ba 3.03

***

#three
Computed, not measured: a relaxed structure of Ba2YIr at the PBE-GGA level of DFT.

abc: 3.6724 4.5073 18.7083
angles: 90.00 90.00 90.00
Closest atoms and distances in Å follow each position.
Space group Immm (No. 71)
Asymmetric unit:
Ba 0.0000 0.0000 0.1503 x4  2 Ir 3.36, 2 Y 3.60, 2 Ba 3.67
Y 0.0000 0.5000 0.0000 x2  4 Ir 2.91
Ir 0.0000 0.5000 0.5000 x2  4 Y 2.91

***

#four
Computed, not measured: a relaxed structure of Ba2YIr at the PBE-GGA level of DFT.

abc: 4.5731 4.5731 11.5161
angles: 90.00 90.00 90.00
Closest atoms and distances in Å follow each position.
Space group I4/mmm (No. 139)
Asymmetric unit:
Ba 0.0000 0.5000 0.2500 x4  4 Ba 3.23
Y 0.0000 0.0000 0.0000 x2  4 Ir 3.23
Ir 0.0000 0.0000 0.5000 x2  4 Y 3.23

***

Short version: #one is the least stable of them.

***

#one
Computed, not measured: a relaxed structure of BaYIr at the PBE-GGA level of DFT.

abc: 7.1667 7.1667 7.1667
angles: 90.00 90.00 90.00
Closest atoms and distances in Å follow each position.
Space group F-43m (No. 216)
Asymmetric unit:
Ba 0.0000 0.0000 0.0000 x4  4 Ir 3.10
Y 0.0000 0.0000 0.5000 x4  4 Ir 3.10
Ir 0.2500 0.2500 0.2500 x4  4 Ba 3.10, 4 Y 3.10

***

#two
Computed, not measured: a relaxed structure of BaYIr at the PBE-GGA level of DFT.

abc: 4.2845 4.2845 6.8082
angles: 90.00 90.00 120.00
Closest atoms and distances in Å follow each position.
Space group P3m1 (No. 156)
Asymmetric unit:
Ba 0.0000 0.0000 0.0000 x1  3 Ir 3.12
Y 0.3333 0.6667 0.4580 x1  3 Ir 2.76
Ir 0.6667 0.3333 0.2793 x1  3 Y 2.76

***

Short version: #one is the least stable of them.